[1]
# CsSiS4 (PBE-GGA, relaxed)
# * magnetic moment: 0.00 μB/atom
# * uncorrected formation energy: -0.62 eV/atom
data_CsSiS4
_chemical_formula_sum 'Cs4 Si4 S16'
_symmetry_space_group_name_H-M 'C 1 2/m 1'
_symmetry_Int_Tables_number 12
_cell_length_a 15.2315
_cell_length_b 7.3799
_cell_length_c 6.9815
_cell_angle_alpha 90.00
_cell_angle_beta 103.85
_cell_angle_gamma 90.00
loop_
_symmetry_equiv_pos_as_xyz
'x,y,z'
'-x,-y,-z'
'-x,y,-z'
'x,-y,z'
'x+1/2,y+1/2,z'
'-x+1/2,-y+1/2,-z'
'-x+1/2,y+1/2,-z'
'x+1/2,-y+1/2,z'
loop_
_atom_site_label
_atom_site_type_symbol
_atom_site_fract_x
_atom_site_fract_y
_atom_site_fract_z
Cs1 Cs 0.2102 0.0000 0.1919
Si1 Si 0.0707 0.5000 0.1989
S1 S 0.0000 0.2883 0.0000
S2 S 0.0639 0.3175 0.4903
S3 S 0.2102 0.5000 0.2596

---

[2]
# Cs2Si2S (PBE-GGA, relaxed)
# * DOS(E_F): 0.00 states/eV per cell
# * magnetic moment: 0.00 μB/atom
# * energy above the most stable polymorph in this dataset: 0.200 eV/atom
# * uncorrected formation energy: 0.20 eV/atom
data_Cs2Si2S
_chemical_formula_sum 'Cs4 Si4 S2'
_symmetry_space_group_name_H-M 'P 4/m b m'
_symmetry_Int_Tables_number 127
_symmetry_space_group_name_Hall '-P 4 2ab'
_cell_length_a 7.5215
_cell_length_b 7.5215
_cell_length_c 5.7131
_cell_angle_alpha 90.00
_cell_angle_beta 90.00
_cell_angle_gamma 90.00
loop_
_atom_site_label
_atom_site_type_symbol
_atom_site_fract_x
_atom_site_fract_y
_atom_site_fract_z
Cs1 Cs 0.2071 0.2929 0.0000
Si1 Si 0.1060 0.6060 0.5000
S1 S 0.0000 0.0000 0.5000